BeBrF | PBE-GGA | relaxed

ΔE_f (raw)	-2.081	eV/atom
total magnetization	0.0	μB per formula unit
E	-0.1656	hartree per atom
density of states at the Fermi level	0.00	states/eV/f.u.

Lattice parameters (Å, degrees): 4.445 4.318 6.496 90.00 109.62 90.00
Space group P2_1 (No. 4)
Symmetry-distinct sites (fractional):
Be 0.208 0.000 0.000 (multiplicity 2)
Br 0.381 0.750 0.757 (multiplicity 2)
F 0.053 0.750 0.107 (multiplicity 2)


Ba2ZrRh | PBE-GGA | relaxed

total magnetization	0.0	μB per formula unit
E	-0.1611	hartree per atom
density of states at the Fermi level	3.91	states/eV/f.u.
energy relative to the elements	0.55	eV/atom

Lattice parameters (Å, degrees): 4.453 4.453 5.710 90.00 90.00 90.00
Space group P4/mmm (No. 123)
Symmetry-distinct sites (fractional):
Ba 0.000 0.500 0.000 (multiplicity 2)
Zr 0.000 0.000 0.500 (multiplicity 1)
Rh 0.500 0.500 0.500 (multiplicity 1)


Nd4SmTm2Th | PBE-GGA | relaxed

total magnetization	0.0	μB per formula unit
E	-0.1829	hartree per atom
density of states at the Fermi level	12.93	states/eV/f.u.
energy relative to the elements	0.04	eV/atom

Lattice parameters (Å, degrees): 11.439 5.128 10.211 90.00 116.65 90.00
Space group C2/m (No. 12)
Symmetry-distinct sites (fractional):
Nd 0.248 0.000 0.122 (multiplicity 4)
Nd 0.249 0.500 0.372 (multiplicity 4)
Sm 0.000 0.500 0.500 (multiplicity 2)
Tm 0.001 0.000 0.246 (multiplicity 4)
Th 0.000 0.500 0.000 (multiplicity 2)


Na2I3Br6 | PBE-GGA | relaxed

ΔE_f (raw)	-0.570	eV/atom
total magnetization	0.0	μB per formula unit
E	-0.0788	hartree per atom
density of states at the Fermi level	3.60	states/eV/f.u.

Lattice parameters (Å, degrees): 11.941 8.746 17.303 90.00 103.31 90.00
Space group C2/c (No. 15)
Symmetry-distinct sites (fractional):
Na 0.071 0.250 0.002 (multiplicity 8)
I 0.000 0.052 0.250 (multiplicity 4)
I 0.166 0.433 0.751 (multiplicity 8)
Br 0.061 0.051 0.410 (multiplicity 8)
Br 0.118 0.447 0.591 (multiplicity 8)
Br 0.219 0.430 0.912 (multiplicity 8)